Version w
Entry from Alexandria: an optimized crystal structure of Tl3CrO (PBE with a Hubbard U).

## Properties
The density of states at the Fermi level is 2.1 states/eV/cell. Its volume is 31.72 A^3/atom.

The structure in CIF format:
```
data_Tl3CrO
_symmetry_space_group_name_H-M 'P 1'
_symmetry_Int_Tables_number 1
_cell_length_a 5.413
_cell_length_b 5.413
_cell_length_c 5.413
_cell_angle_alpha 90.00
_cell_angle_beta 90.00
_cell_angle_gamma 90.00
loop_
_symmetry_equiv_pos_as_xyz
'x,y,z'
loop_
_atom_site_label
_atom_site_fract_x
_atom_site_fract_y
_atom_site_fract_z
Cr1 0.000 0.000 0.000
Tl1 0.000 0.500 0.000
Tl2 0.000 0.000 0.500
Tl3 0.500 0.000 0.000
O1 0.500 0.500 0.500
```

***

Version x
Entry from Alexandria: an optimized crystal structure of Tl3CrO (PBE with a Hubbard U).

## Properties
The density of states at the Fermi level is 4.8 states/eV/cell. Its volume is 23.37 A^3/atom.

The structure in CIF format:
```
data_Tl3CrO
_symmetry_space_group_name_H-M 'P 1'
_symmetry_Int_Tables_number 1
_cell_length_a 4.889
_cell_length_b 4.889
_cell_length_c 4.889
_cell_angle_alpha 90.00
_cell_angle_beta 90.00
_cell_angle_gamma 90.00
loop_
_symmetry_equiv_pos_as_xyz
'x,y,z'
loop_
_atom_site_label
_atom_site_fract_x
_atom_site_fract_y
_atom_site_fract_z
Cr1 0.500 0.500 0.500
Tl1 0.000 0.500 0.000
Tl2 0.000 0.000 0.500
Tl3 0.500 0.000 0.000
O1 0.000 0.000 0.000
```

***

Most favorable structure: version w. The second most favorable one is 37.0 kJ/mol of atoms above it.

***

Version w
Entry from Alexandria: an optimized crystal structure of Tl2CrO2 (PBE with a Hubbard U).

## Properties
The density of states at the Fermi level is 3.3 states/eV/cell. Its volume is 19.97 A^3/atom.

The structure in CIF format:
```
data_Tl2CrO2
_symmetry_space_group_name_H-M 'P 1'
_symmetry_Int_Tables_number 1
_cell_length_a 7.696
_cell_length_b 7.696
_cell_length_c 3.373
_cell_angle_alpha 90.00
_cell_angle_beta 90.00
_cell_angle_gamma 90.00
loop_
_symmetry_equiv_pos_as_xyz
'x,y,z'
loop_
_atom_site_label
_atom_site_fract_x
_atom_site_fract_y
_atom_site_fract_z
Cr1 0.000 0.000 0.000
Cr2 0.500 0.500 0.000
Tl1 0.370 0.870 0.000
Tl2 0.870 0.630 0.000
Tl3 0.630 0.130 0.000
Tl4 0.130 0.370 0.000
O1 0.235 0.735 0.500
O2 0.735 0.765 0.500
O3 0.765 0.265 0.500
O4 0.265 0.235 0.500
```

***

Version x
Entry from Alexandria: an optimized crystal structure of Tl2CrO2 (PBE with a Hubbard U).

## Properties
The density of states at the Fermi level is 2.9 states/eV/cell. Its volume is 18.74 A^3/atom.

The structure in CIF format:
```
data_Tl2CrO2
_symmetry_space_group_name_H-M 'P 1'
_symmetry_Int_Tables_number 1
_cell_length_a 4.102
_cell_length_b 4.102
_cell_length_c 6.281
_cell_angle_alpha 70.94
_cell_angle_beta 70.94
_cell_angle_gamma 90.00
loop_
_symmetry_equiv_pos_as_xyz
'x,y,z'
loop_
_atom_site_label
_atom_site_fract_x
_atom_site_fract_y
_atom_site_fract_z
Cr1 0.000 0.000 0.000
Tl1 0.352 0.352 0.296
Tl2 0.648 0.648 0.704
O1 0.750 0.250 0.500
O2 0.250 0.750 0.500
```

***

Most favorable structure: version x. The second most favorable one is 15.6 kJ/mol of atoms above it.

***

Version w
Entry from Alexandria: an optimized crystal structure of Tm3CrO6 (PBE with a Hubbard U).

## Properties
The density of states at the Fermi level is 0.0 states/eV/cell. Its volume is 13.25 A^3/atom.

The structure in CIF format:
```
data_Tm3CrO6
_symmetry_space_group_name_H-M 'P 1'
_symmetry_Int_Tables_number 1
_cell_length_a 6.428
_cell_length_b 6.428
_cell_length_c 6.428
_cell_angle_alpha 92.37
_cell_angle_beta 92.37
_cell_angle_gamma 92.37
loop_
_symmetry_equiv_pos_as_xyz
'x,y,z'
loop_
_atom_site_label
_atom_site_fract_x
_atom_site_fract_y
_atom_site_fract_z
Tm1 0.436 0.928 0.746
Tm2 0.928 0.746 0.436
Tm3 0.254 0.564 0.072
Tm4 0.746 0.436 0.928
Tm5 0.072 0.254 0.564
Tm6 0.564 0.072 0.254
Cr1 0.000 0.000 0.000
Cr2 0.500 0.500 0.500
O1 0.303 0.918 0.069
O2 0.082 0.931 0.697
O3 0.589 0.802 0.460
O4 0.931 0.697 0.082
O5 0.460 0.589 0.802
O6 0.198 0.540 0.411
O7 0.802 0.460 0.589
O8 0.540 0.411 0.198
O9 0.069 0.303 0.918
O10 0.411 0.198 0.540
O11 0.918 0.069 0.303
O12 0.697 0.082 0.931
```

***

Version x
Entry from Alexandria: an optimized crystal structure of Tm3CrO6 (PBE with a Hubbard U).

## Properties
The density of states at the Fermi level is 0.0 states/eV/cell. Its volume is 12.80 A^3/atom.

The structure in CIF format:
```
data_Tm3CrO6
_symmetry_space_group_name_H-M 'P 1'
_symmetry_Int_Tables_number 1
_cell_length_a 5.418
_cell_length_b 6.942
_cell_length_c 6.942
_cell_angle_alpha 101.46
_cell_angle_beta 90.00
_cell_angle_gamma 90.00
loop_
_symmetry_equiv_pos_as_xyz
'x,y,z'
loop_
_atom_site_label
_atom_site_fract_x
_atom_site_fract_y
_atom_site_fract_z
Tm1 0.470 0.912 0.680
Tm2 0.970 0.680 0.912
Tm3 0.418 0.397 0.603
Tm4 0.918 0.603 0.397
Tm5 0.970 0.088 0.320
Tm6 0.470 0.320 0.088
Cr1 0.984 0.148 0.852
Cr2 0.484 0.852 0.148
O1 0.193 0.674 0.646
O2 0.693 0.646 0.674
O3 0.162 0.398 0.901
O4 0.662 0.901 0.398
O5 0.280 0.015 0.985
O6 0.655 0.223 0.777
O7 0.155 0.777 0.223
O8 0.780 0.985 0.015
O9 0.162 0.099 0.602
O10 0.662 0.602 0.099
O11 0.193 0.354 0.326
O12 0.693 0.326 0.354
```

***

Most favorable structure: version w. The second most favorable one is 10.5 kJ/mol of atoms above it.

***

Version w
Entry from Alexandria: an optimized crystal structure of VCrO2 (PBE with a Hubbard U).

## Properties
The density of states at the Fermi level is 3.6 states/eV/cell. Its volume is 13.86 A^3/atom.

The structure in CIF format:
```
data_VCrO2
_symmetry_space_group_name_H-M 'P 1'
_symmetry_Int_Tables_number 1
_cell_length_a 4.857
_cell_length_b 4.857
_cell_length_c 5.820
_cell_angle_alpha 65.34
_cell_angle_beta 65.34
_cell_angle_gamma 90.00
loop_
_symmetry_equiv_pos_as_xyz
'x,y,z'
loop_
_atom_site_label
_atom_site_fract_x
_atom_site_fract_y
_atom_site_fract_z
Cr1 0.000 0.000 0.000
Cr2 0.750 0.250 0.500
O1 0.585 0.125 0.250
O2 0.165 0.625 0.250
O3 0.375 0.415 0.750
O4 0.875 0.835 0.750
V1 0.500 0.500 0.000
V2 0.250 0.750 0.500
```

***

Version x
Entry from Alexandria: an optimized crystal structure of VCrO2 (PBE with a Hubbard U).

## Properties
The density of states at the Fermi level is 0.4 states/eV/cell. Its volume is 9.83 A^3/atom.

The structure in CIF format:
```
data_VCrO2
_symmetry_space_group_name_H-M 'P 1'
_symmetry_Int_Tables_number 1
_cell_length_a 3.817
_cell_length_b 3.817
_cell_length_c 3.817
_cell_angle_alpha 60.00
_cell_angle_beta 60.00
_cell_angle_gamma 60.00
loop_
_symmetry_equiv_pos_as_xyz
'x,y,z'
loop_
_atom_site_label
_atom_site_fract_x
_atom_site_fract_y
_atom_site_fract_z
Cr1 0.500 0.500 0.500
O1 0.250 0.250 0.250
O2 0.750 0.750 0.750
V1 0.000 0.000 0.000
```

***

Version y
Entry from Alexandria: an optimized crystal structure of VCrO2 (PBE with a Hubbard U).

## Properties
The density of states at the Fermi level is 1.3 states/eV/cell. Its volume is 11.30 A^3/atom.

The structure in CIF format:
```
data_VCrO2
_symmetry_space_group_name_H-M 'P 1'
_symmetry_Int_Tables_number 1
_cell_length_a 4.318
_cell_length_b 4.318
_cell_length_c 9.696
_cell_angle_alpha 90.00
_cell_angle_beta 90.00
_cell_angle_gamma 90.00
loop_
_symmetry_equiv_pos_as_xyz
'x,y,z'
loop_
_atom_site_label
_atom_site_fract_x
_atom_site_fract_y
_atom_site_fract_z
V1 0.250 0.500 0.625
V2 0.750 0.500 0.375
V3 0.250 0.000 0.875
V4 0.750 0.000 0.125
Cr1 0.250 0.000 0.375
Cr2 0.750 0.000 0.625
Cr3 0.250 0.500 0.125
Cr4 0.750 0.500 0.875
O1 0.750 0.000 0.891
O2 0.250 0.000 0.109
O3 0.750 0.500 0.609
O4 0.250 0.500 0.391
O5 0.750 0.500 0.141
O6 0.250 0.500 0.859
O7 0.750 0.000 0.359
O8 0.250 0.000 0.641
```

***

Most favorable structure: version y. The second most favorable one is 17.7 kJ/mol of atoms above it.